The following is a PBE-GGA calculation of a relaxed Ag2AsI crystal, from the Alexandria database.

Results
volume: 22.9 A^3/atom
distance to the lowest polymorph of the same formula: 346 meV/atom
formation energy (no corrections): 544 meV/atom
DOS(E_F): 0.96 states/eV/atom
total DFT energy (no corrections): -2.4319 eV per atom

Unit cell a=5.060 b=5.060 c=5.060 alpha=60.00 beta=60.00 gamma=60.00
Element x y z (fractional)
I 0.500 0.500 0.500
As 0.000 0.000 0.000
Ag 0.250 0.250 0.250
Ag 0.750 0.750 0.750